Record 1
This record from the Alexandria database describes an optimized crystal structure of Dy8NiOs2. The functional is GGA-PBE.

a = 7.512 Å, b = 7.512 Å, c = 5.873 Å
α = 100.48°, β = 100.48°, γ = 111.39°
Positions (direct):
Dy 0.000 0.000 0.000
Dy 0.029 0.291 0.589
Dy 0.150 0.575 0.199
Dy 0.291 0.029 0.589
Dy 0.443 0.707 0.795
Dy 0.575 0.150 0.199
Dy 0.707 0.443 0.795
Dy 0.725 0.725 0.391
Ni 0.360 0.360 0.358
Os 0.057 0.679 0.691
Os 0.679 0.057 0.691

Computed properties:
Calculated total energy: -6.0618 eV/atom
Space-group type: Cm (8)
Calculated formation energy: -0.1475 eV/atom
Density of states at the Fermi level: 9.84 states/eV/f.u.

---

Record 2
This record from the Alexandria database describes an optimized crystal structure of Dy2NiOs3. The functional is GGA-PBE.

a = 9.111 Å, b = 5.252 Å, c = 5.334 Å
α = 90.00°, β = 124.70°, γ = 90.00°
Positions (direct):
Dy 0.123 0.000 0.369
Dy 0.377 0.500 0.631
Dy 0.623 0.500 0.369
Dy 0.877 0.000 0.631
Ni 0.000 0.500 0.500
Ni 0.500 0.000 0.500
Os 0.000 0.500 0.000
Os 0.250 0.250 0.000
Os 0.250 0.750 0.000
Os 0.500 0.000 0.000
Os 0.750 0.250 0.000
Os 0.750 0.750 0.000

Computed properties:
Calculated total energy: -8.4706 eV/atom
Space-group type: C2/m (12)
Calculated formation energy: -0.3582 eV/atom
Density of states at the Fermi level: 3.52 states/eV/f.u.

---

Record 3
This record from the Alexandria database describes an optimized crystal structure of Dy5Ni2Os. The functional is GGA-PBE.

a = 8.829 Å, b = 8.829 Å, c = 8.829 Å
α = 132.94°, β = 132.94°, γ = 68.74°
Positions (direct):
Dy 0.000 0.000 0.000
Dy 0.029 0.529 0.852
Dy 0.177 0.029 0.500
Dy 0.323 0.823 0.852
Dy 0.471 0.323 0.500
Dy 0.500 0.500 0.000
Dy 0.529 0.677 0.500
Dy 0.677 0.177 0.148
Dy 0.823 0.971 0.500
Dy 0.971 0.471 0.148
Ni 0.118 0.382 0.500
Ni 0.382 0.882 0.265
Ni 0.618 0.118 0.735
Ni 0.882 0.618 0.500
Os 0.250 0.250 0.000
Os 0.750 0.750 0.000

Computed properties:
Calculated total energy: -6.0553 eV/atom
Space-group type: I4/mcm (140)
Calculated formation energy: -0.3299 eV/atom
Density of states at the Fermi level: 7.13 states/eV/f.u.

---

Record 4
This record from the Alexandria database describes an optimized crystal structure of PmDyNiOs. The functional is GGA-PBE.

a = 6.885 Å, b = 6.885 Å, c = 6.885 Å
α = 90.00°, β = 90.00°, γ = 90.00°
Positions (direct):
Pm 0.000 0.000 0.000
Pm 0.000 0.500 0.500
Pm 0.500 0.000 0.500
Pm 0.500 0.500 0.000
Dy 0.000 0.000 0.500
Dy 0.000 0.500 0.000
Dy 0.500 0.000 0.000
Dy 0.500 0.500 0.500
Ni 0.250 0.250 0.750
Ni 0.250 0.750 0.250
Ni 0.750 0.250 0.250
Ni 0.750 0.750 0.750
Os 0.250 0.250 0.250
Os 0.250 0.750 0.750
Os 0.750 0.250 0.750
Os 0.750 0.750 0.250

Computed properties:
Calculated total energy: -6.7851 eV/atom
Space-group type: F-43m (216)
Calculated formation energy: -0.1942 eV/atom
Density of states at the Fermi level: 2.47 states/eV/f.u.

---

Record 5
This record from the Alexandria database describes an optimized crystal structure of PrDyNiOs. The functional is GGA-PBE.

a = 6.938 Å, b = 6.938 Å, c = 6.938 Å
α = 90.00°, β = 90.00°, γ = 90.00°
Positions (direct):
Pr 0.000 0.000 0.000
Pr 0.000 0.500 0.500
Pr 0.500 0.000 0.500
Pr 0.500 0.500 0.000
Dy 0.000 0.000 0.500
Dy 0.000 0.500 0.000
Dy 0.500 0.000 0.000
Dy 0.500 0.500 0.500
Ni 0.250 0.250 0.750
Ni 0.250 0.750 0.250
Ni 0.750 0.250 0.250
Ni 0.750 0.750 0.750
Os 0.250 0.250 0.250
Os 0.250 0.750 0.750
Os 0.750 0.250 0.750
Os 0.750 0.750 0.250

Computed properties:
Calculated total energy: -6.7318 eV/atom
Space-group type: F-43m (216)
Calculated formation energy: -0.1336 eV/atom
Density of states at the Fermi level: 3.01 states/eV/f.u.

---

Record 6
This record from the Alexandria database describes an optimized crystal structure of DySi2NiOs. The functional is GGA-PBE.

a = 3.980 Å, b = 3.980 Å, c = 10.039 Å
α = 90.00°, β = 90.00°, γ = 90.00°
Positions (direct):
Dy 0.000 0.000 0.000
Dy 0.500 0.500 0.500
Si 0.000 0.000 0.377
Si 0.000 0.000 0.623
Si 0.500 0.500 0.123
Si 0.500 0.500 0.877
Ni 0.000 0.500 0.250
Ni 0.500 0.000 0.750
Os 0.000 0.500 0.750
Os 0.500 0.000 0.250

Computed properties:
Calculated total energy: -7.2710 eV/atom
Space-group type: I-4m2 (119)
ΔE_f (raw): -0.779 eV/atom
Density of states at the Fermi level: 1.93 states/eV/f.u.

---

Repeat the first record exactly.
This record from the Alexandria database describes an optimized crystal structure of Dy8NiOs2. The functional is GGA-PBE.

a = 7.512 Å, b = 7.512 Å, c = 5.873 Å
α = 100.48°, β = 100.48°, γ = 111.39°
Positions (direct):
Dy 0.000 0.000 0.000
Dy 0.029 0.291 0.589
Dy 0.150 0.575 0.199
Dy 0.291 0.029 0.589
Dy 0.443 0.707 0.795
Dy 0.575 0.150 0.199
Dy 0.707 0.443 0.795
Dy 0.725 0.725 0.391
Ni 0.360 0.360 0.358
Os 0.057 0.679 0.691
Os 0.679 0.057 0.691

Computed properties:
Calculated total energy: -6.0618 eV/atom
Space-group type: Cm (8)
Calculated formation energy: -0.1475 eV/atom
Density of states at the Fermi level: 9.84 states/eV/f.u.